Density functional theory data (GGA+U) for a relaxed structure of Li2UMo2O10.

Cell: 5.171 5.344 8.083 Å, 71.37 86.97 72.16°
Space group P-1 (No. 2)
Unique sites:
Li 0.088 0.212 0.157 (multiplicity 2)
U 0.500 0.000 0.500 (multiplicity 1)
Mo 0.493 0.569 0.182 (multiplicity 2)
O 0.240 0.342 0.363 (multiplicity 2)
O 0.245 0.581 0.015 (multiplicity 2)
O 0.253 0.788 0.684 (multiplicity 2)
O 0.376 0.118 0.976 (multiplicity 2)
O 0.385 0.815 0.316 (multiplicity 2)

Properties
The value obtained for the calculated volume is 13.42 Å³ per atom. The value obtained for the density of states at the Fermi level is 0.25 states/eV/f.u. As for the mass density: 5.0 g/cm³. As for the total energy: -107.01 eV per formula unit.